[1]
First-principles (GGA-PBE) data for a relaxed MoAsP2Cl crystal, as listed in Alexandria.

Results
raw formation energy	0.564	eV per atom
DOS at the Fermi energy	2.47	states/eV/f.u.
energy	-5.066	eV/atom
M_tot	2.0	μB per formula unit
calculated volume	21.6	Å³/atom

Cell: 4.753 4.753 4.771 Å, 90.00 90.00 90.00°
Fractional positions:
Mo 0.000 0.000 0.000
As 0.500 0.500 0.500
P 0.000 0.500 0.000
P 0.500 0.000 0.000
Cl 0.000 0.000 0.500

=====

[2]
First-principles (GGA-PBE) data for a relaxed MoAsPCl2 crystal, as listed in Alexandria.

Results
raw formation energy	0.881	eV per atom
DOS at the Fermi energy	2.84	states/eV/f.u.
energy	-4.036	eV/atom
M_tot	4.2	μB per formula unit
calculated volume	23.6	Å³/atom

Cell: 4.832 4.832 5.060 Å, 90.00 90.00 90.00°
Fractional positions:
Mo 0.000 0.000 0.000
As 0.500 0.500 0.500
P 0.500 0.500 0.000
Cl 0.000 0.500 0.500
Cl 0.500 0.000 0.500

=====

[3]
First-principles (GGA-PBE) data for a relaxed MoAs2PtCl crystal, as listed in Alexandria.

Results
raw formation energy	1.344	eV per atom
DOS at the Fermi energy	2.42	states/eV/f.u.
energy	-4.259	eV/atom
M_tot	0.0	μB per formula unit
calculated volume	20.0	Å³/atom

Cell: 4.817 4.817 4.316 Å, 90.00 90.00 90.00°
Fractional positions:
Mo 0.000 0.000 0.000
As 0.000 0.500 0.500
As 0.500 0.000 0.500
Pt 0.500 0.500 0.000
Cl 0.000 0.000 0.500

=====

[4]
First-principles (GGA-PBE) data for a relaxed Rb2MoAsCl6 crystal, as listed in Alexandria.

Results
raw formation energy	-0.999	eV per atom
DOS at the Fermi energy	2.49	states/eV/f.u.
energy	-3.849	eV/atom
M_tot	3.0	μB per formula unit
calculated volume	30.4	Å³/atom

Cell: 7.803 7.803 7.803 Å, 125.42 125.42 80.84°
Fractional positions:
Rb 0.250 0.750 0.500
Rb 0.750 0.250 0.500
Mo 0.000 0.000 0.000
As 0.500 0.500 0.000
Cl 0.208 0.208 0.000
Cl 0.247 0.247 0.494
Cl 0.247 0.753 0.000
Cl 0.753 0.247 0.000
Cl 0.753 0.753 0.506
Cl 0.792 0.792 0.000